TlAs2Se PBE relaxed; ΔE to the lowest computed polymorph = 91 kJ/mol of formula units; space-group type = No. 10; M_tot = 0.000 μB per atom
1.0
4.0780 0.0000 0.0000
0.0000 4.0126 0.0000
-0.0520 0.0000 5.7798
Tl As Se
1 2 1
Direct
0.0000 0.0000 0.0000
0.0000 0.0000 0.5000
0.5000 0.5000 0.0000
0.5000 0.5000 0.5000

=====

TlAs4Se PBE relaxed; space-group type = No. 216; E_tot = -3.830 eV/atom; M_tot = 0.151 μB per atom
1.0
0.0000 4.3396 4.3396
4.3396 0.0000 4.3396
4.3396 4.3396 0.0000
Tl As Se
1 4 1
Direct
0.0000 0.0000 0.0000
0.1954 0.6015 0.6015
0.6015 0.1954 0.6015
0.6015 0.6015 0.1954
0.6015 0.6015 0.6015
0.2500 0.2500 0.2500

=====

TlAsSe4 PBE relaxed; ΔE to the lowest computed polymorph = 0 kJ/mol of formula units; space-group type = No. 2; M_tot = 0.000 μB per atom
1.0
6.6363 0.0000 0.0000
-0.0023 6.7436 0.0000
-3.3092 -3.2710 7.4558
Tl As Se
2 2 8
Direct
0.2424 0.2503 0.0001
0.7576 0.7497 0.9999
0.0000 0.5000 0.5000
0.5000 0.0000 0.5000
0.1381 0.7582 0.8494
0.1504 0.1469 0.5869
0.2888 0.7424 0.1504
0.4364 0.6469 0.5870
0.5636 0.3531 0.4130
0.7112 0.2576 0.8496
0.8496 0.8531 0.4131
0.8619 0.2418 0.1506

=====

TlAs2Se PBE relaxed; ΔE to the lowest computed polymorph = 152 kJ/mol of formula units; space-group type = No. 119; M_tot = 0.000 μB per atom
1.0
5.0261 0.0000 0.0000
0.0000 5.0261 0.0000
0.0000 0.0000 7.0987
Tl As Se
2 4 2
Direct
0.0000 0.0000 0.0000
0.5000 0.5000 0.5000
0.0000 0.0000 0.5000
0.0000 0.5000 0.2500
0.5000 0.0000 0.7500
0.5000 0.5000 0.0000
0.0000 0.5000 0.7500
0.5000 0.0000 0.2500

=====

TlAs3Se PBE relaxed; ΔE to the lowest computed polymorph = 307 kJ/mol of formula units; space-group type = No. 221; M_tot = 0.000 μB per atom
1.0
5.3000 0.0000 0.0000
0.0000 5.3000 0.0000
0.0000 0.0000 5.3000
Tl As Se
1 3 1
Direct
0.0000 0.0000 0.0000
0.0000 0.0000 0.5000
0.0000 0.5000 0.0000
0.5000 0.0000 0.0000
0.5000 0.5000 0.5000

=====

TlAs2Se PBE relaxed; ΔE to the lowest computed polymorph = 164 kJ/mol of formula units; space-group type = No. 123; M_tot = 0.000 μB per atom
1.0
5.0359 0.0000 0.0000
0.0000 5.0359 0.0000
0.0000 0.0000 3.5183
Tl As Se
1 2 1
Direct
0.0000 0.0000 0.0000
0.0000 0.5000 0.5000
0.5000 0.0000 0.5000
0.5000 0.5000 0.0000

=====

TlAs2Se PBE relaxed; ΔE to the lowest computed polymorph = 108 kJ/mol of formula units; space-group type = No. 35; M_tot = 0.000 μB per atom
1.0
3.8906 0.0000 0.0000
0.0000 5.3484 0.0000
0.0000 0.0000 9.3818
Tl As Se
2 4 2
Direct
0.0000 0.0000 0.0000
0.5000 0.5000 0.0000
0.0000 0.0000 0.5019
0.0000 0.5000 0.6812
0.5000 0.0000 0.6812
0.5000 0.5000 0.5019
0.0000 0.5000 0.2440
0.5000 0.0000 0.2440

=====

Tl2As2Se5 PBE relaxed; ΔE to the lowest computed polymorph = 64 kJ/mol of formula units; space-group type = No. 12; M_tot = 0.000 μB per atom
1.0
6.8158 -2.6367 0.0000
6.8158 2.6367 0.0000
-1.8217 0.0000 7.6721
Tl As Se
2 2 5
Direct
0.0992 0.0992 0.3561
0.9008 0.9008 0.6439
0.3316 0.3316 0.1078
0.6684 0.6684 0.8922
0.1455 0.1455 0.9627
0.3448 0.3448 0.4085
0.5000 0.5000 0.0000
0.6552 0.6552 0.5915
0.8545 0.8545 0.0373

=====

Tl2AsSe PBE relaxed; ΔE to the lowest computed polymorph = 70 kJ/mol of formula units; space-group type = No. 139; M_tot = 0.000 μB per atom
1.0
4.5758 0.0000 0.0000
0.0000 4.5758 0.0000
0.0000 0.0000 10.0562
Tl As Se
4 2 2
Direct
0.0000 0.5000 0.2500
0.0000 0.5000 0.7500
0.5000 0.0000 0.2500
0.5000 0.0000 0.7500
0.0000 0.0000 0.0000
0.5000 0.5000 0.5000
0.0000 0.0000 0.5000
0.5000 0.5000 0.0000

=====

Tl2As2Se5 PBE relaxed; ΔE to the lowest computed polymorph = 0 kJ/mol of formula units; space-group type = No. 2; M_tot = 0.000 μB per atom
1.0
5.6486 0.0000 0.0000
-0.1249 7.3825 0.0000
-2.5147 -2.9847 6.8206
Tl As Se
2 2 5
Direct
0.0740 0.3192 0.1220
0.9260 0.6808 0.8780
0.3755 0.1604 0.6823
0.6245 0.8396 0.3177
0.2211 0.8041 0.3639
0.4158 0.9057 0.8194
0.5000 0.5000 0.0000
0.5842 0.0943 0.1806
0.7789 0.1959 0.6361

=====

TlAs2Se PBE relaxed; ΔE to the lowest computed polymorph = 175 kJ/mol of formula units; space-group type = No. 65; M_tot = 0.000 μB per atom
1.0
5.8857 0.0000 0.0000
0.0000 11.3100 0.0000
0.0000 0.0000 2.8259
Tl As Se
2 4 2
Direct
0.0000 0.0000 0.0000
0.5000 0.5000 0.0000
0.2500 0.2500 0.5000
0.2500 0.7500 0.5000
0.7500 0.2500 0.5000
0.7500 0.7500 0.5000
0.0000 0.5000 0.0000
0.5000 0.0000 0.0000

=====

TlAs2Se PBE relaxed; ΔE to the lowest computed polymorph = 0 kJ/mol of formula units; space-group type = No. 12; M_tot = 0.000 μB per atom
1.0
12.1000 0.0000 0.0000
0.0000 3.8685 0.0000
-1.6895 0.0000 4.5550
Tl As Se
2 4 2
Direct
0.0000 0.0000 0.0000
0.5000 0.5000 0.0000
0.2364 0.5000 0.6550
0.2636 0.0000 0.3450
0.7364 0.0000 0.6550
0.7636 0.5000 0.3450
0.0000 0.5000 0.5000
0.5000 0.0000 0.5000

=====

Tl3AsSe3 PBE relaxed; ΔE to the lowest computed polymorph = 0 kJ/mol of formula units; space-group type = No. 160; M_tot = 0.000 μB per atom
1.0
5.1008 2.9450 2.4040
-5.1008 2.9450 2.4040
0.0000 -5.8899 2.4040
Tl As Se
3 1 3
Direct
0.2004 0.2004 0.5993
0.2004 0.5993 0.2004
0.5993 0.2004 0.2004
0.7450 0.7450 0.7450
0.1391 0.7667 0.7667
0.7667 0.1391 0.7667
0.7667 0.7667 0.1391

=====

TlAs2Se PBE relaxed; ΔE to the lowest computed polymorph = 130 kJ/mol of formula units; space-group type = No. 123; M_tot = 0.000 μB per atom
1.0
3.8664 0.0000 0.0000
0.0000 3.8664 0.0000
0.0000 0.0000 8.2101
Tl As Se
1 2 1
Direct
0.0000 0.0000 0.0000
0.0000 0.5000 0.5000
0.5000 0.0000 0.5000
0.5000 0.5000 0.0000

=====

TlAs4Se6 PBE relaxed; space-group type = No. 63; E_tot = -3.903 eV/atom; M_tot = 0.000 μB per atom
1.0
1.9993 -6.4406 0.0000
1.9993 6.4406 0.0000
0.0000 0.0000 21.1073
Tl As Se
2 8 12
Direct
0.1885 0.8115 0.7500
0.8115 0.1885 0.2500
0.0805 0.9195 0.1298
0.0805 0.9195 0.3702
0.3611 0.6389 0.0400
0.3611 0.6389 0.4600
0.6389 0.3611 0.5400
0.6389 0.3611 0.9600
0.9195 0.0805 0.6298
0.9195 0.0805 0.8702
0.0000 0.0000 0.0000
0.0000 0.0000 0.5000
0.1352 0.8648 0.2500
0.2616 0.7384 0.5813
0.2616 0.7384 0.9187
0.4577 0.5423 0.1491
0.4577 0.5423 0.3509
0.5423 0.4577 0.6491
0.5423 0.4577 0.8509
0.7384 0.2616 0.0813
0.7384 0.2616 0.4187
0.8648 0.1352 0.7500

=====

TlAs2Se PBE relaxed; ΔE to the lowest computed polymorph = 19 kJ/mol of formula units; space-group type = No. 99; M_tot = 0.000 μB per atom
1.0
4.1305 0.0000 0.0000
0.0000 4.1305 0.0000
0.0000 0.0000 5.9293
Tl As Se
1 2 1
Direct
0.0000 0.0000 0.0000
0.0000 0.0000 0.4747
0.5000 0.5000 0.4890
0.5000 0.5000 0.8929

=====

TlAs3Se PBE relaxed; ΔE to the lowest computed polymorph = 0 kJ/mol of formula units; space-group type = No. 221; M_tot = 0.000 μB per atom
1.0
5.1327 0.0000 0.0000
0.0000 5.1327 0.0000
0.0000 0.0000 5.1327
Tl As Se
1 3 1
Direct
0.0000 0.0000 0.0000
0.0000 0.5000 0.5000
0.5000 0.0000 0.5000
0.5000 0.5000 0.0000
0.5000 0.5000 0.5000

=====

Tl2As3Se6 PBE relaxed; space-group type = No. 12; E_tot = -3.769 eV/atom; M_tot = 0.000 μB per atom
1.0
3.3223 -5.7602 0.0000
3.3223 5.7602 0.0000
-2.2310 0.0000 7.8965
Tl As Se
2 3 6
Direct
0.1654 0.8346 0.0000
0.8346 0.1654 0.0000
0.0000 0.0000 0.5000
0.3317 0.6683 0.5000
0.6683 0.3317 0.5000
0.0670 0.3989 0.6955
0.2686 0.2686 0.3026
0.3989 0.0670 0.6955
0.6011 0.9330 0.3045
0.7314 0.7314 0.6974
0.9330 0.6011 0.3045

=====

Tl2AsSe PBE relaxed; ΔE to the lowest computed polymorph = 106 kJ/mol of formula units; space-group type = No. 216; M_tot = 0.000 μB per atom
1.0
7.4804 0.0000 0.0000
0.0000 7.4804 0.0000
0.0000 0.0000 7.4804
Tl As Se
8 4 4
Direct
0.0000 0.0000 0.0000
0.0000 0.5000 0.5000
0.2500 0.2500 0.2500
0.2500 0.7500 0.7500
0.5000 0.0000 0.5000
0.5000 0.5000 0.0000
0.7500 0.2500 0.7500
0.7500 0.7500 0.2500
0.0000 0.0000 0.5000
0.0000 0.5000 0.0000
0.5000 0.0000 0.0000
0.5000 0.5000 0.5000
0.2500 0.2500 0.7500
0.2500 0.7500 0.2500
0.7500 0.2500 0.2500
0.7500 0.7500 0.7500

=====

TlAs2Se PBE relaxed; ΔE to the lowest computed polymorph = 161 kJ/mol of formula units; space-group type = No. 12; M_tot = 0.000 μB per atom
1.0
6.1540 0.0000 0.0000
0.0000 9.8117 0.0000
-1.2400 0.0000 2.9686
Tl As Se
2 4 2
Direct
0.0000 0.0000 0.0000
0.5000 0.5000 0.0000
0.2500 0.2500 0.5000
0.2500 0.7500 0.5000
0.7500 0.2500 0.5000
0.7500 0.7500 0.5000
0.0000 0.5000 0.0000
0.5000 0.0000 0.0000

=====

TlAs2Se PBE relaxed; ΔE to the lowest computed polymorph = 84 kJ/mol of formula units; space-group type = No. 99; M_tot = 0.000 μB per atom
1.0
3.3198 0.0000 0.0000
0.0000 3.3198 0.0000
0.0000 0.0000 9.2863
Tl As Se
1 2 1
Direct
0.0000 0.0000 0.0000
0.0000 0.0000 0.4433
0.5000 0.5000 0.3124
0.5000 0.5000 0.7625

=====

Tl2AsSe PBE relaxed; ΔE to the lowest computed polymorph = 17 kJ/mol of formula units; space-group type = No. 166; M_tot = 0.000 μB per atom
1.0
4.2182 0.0000 0.0000
-2.1091 3.6531 0.0000
0.0000 0.0000 20.7257
Tl As Se
6 3 3
Direct
0.0000 0.0000 0.2451
0.0000 0.0000 0.7549
0.3333 0.6667 0.4215
0.3333 0.6667 0.9118
0.6667 0.3333 0.0882
0.6667 0.3333 0.5785
0.0000 0.0000 0.5000
0.3333 0.6667 0.1667
0.6667 0.3333 0.8333
0.0000 0.0000 0.0000
0.3333 0.6667 0.6667
0.6667 0.3333 0.3333

=====

TlAs2Se PBE relaxed; ΔE to the lowest computed polymorph = 33 kJ/mol of formula units; space-group type = No. 8; M_tot = 0.000 μB per atom
1.0
10.7922 0.0000 0.0000
0.0000 3.6261 0.0000
-2.7860 0.0000 5.6977
Tl As Se
2 4 2
Direct
0.0000 0.0000 0.0000
0.5000 0.5000 0.0000
0.0762 0.5000 0.6278
0.3949 0.5000 0.4131
0.5762 0.0000 0.6278
0.8949 0.0000 0.4131
0.2499 0.0000 0.5523
0.7499 0.5000 0.5523

=====

TlAs2Se PBE relaxed; ΔE to the lowest computed polymorph = 156 kJ/mol of formula units; space-group type = No. 65; M_tot = 0.000 μB per atom
1.0
3.4715 0.0000 0.0000
0.0000 5.6886 0.0000
0.0000 0.0000 9.5041
Tl As Se
2 4 2
Direct
0.0000 0.0000 0.0000
0.5000 0.5000 0.0000
0.0000 0.5000 0.2878
0.0000 0.5000 0.7122
0.5000 0.0000 0.2878
0.5000 0.0000 0.7122
0.0000 0.0000 0.5000
0.5000 0.5000 0.5000

=====

Tm4TlAsSe2 PBE relaxed; space-group type = No. 10; E_tot = -5.241 eV/atom; M_tot = 0.000 μB per atom
1.0
7.1909 0.0000 0.0000
0.0000 4.0303 0.0000
-2.3158 0.0000 6.8525
Tm Tl As Se
4 1 1 2
Direct
0.2418 0.0000 0.2412
0.2543 0.5000 0.7608
0.7457 0.5000 0.2392
0.7582 0.0000 0.7588
0.0000 0.0000 0.5000
0.0000 0.5000 0.0000
0.5000 0.0000 0.0000
0.5000 0.5000 0.5000

=====

Tm6TlAs2Se3 PBE relaxed; space-group type = No. 12; E_tot = -5.472 eV/atom; M_tot = 0.000 μB per atom
1.0
8.9472 -2.0234 0.0000
8.9472 2.0234 0.0000
-1.8820 0.0000 8.0825
Tm Tl As Se
6 1 2 3
Direct
0.0027 0.0027 0.2599
0.3288 0.3288 0.4234
0.3314 0.3314 0.9054
0.6686 0.6686 0.0946
0.6712 0.6712 0.5766
0.9973 0.9973 0.7401
0.5000 0.5000 0.0000
0.1674 0.1674 0.3363
0.8326 0.8326 0.6637
0.1678 0.1678 0.8315
0.5000 0.5000 0.5000
0.8322 0.8322 0.1685

=====

TlVAsSe2 PBE relaxed; ΔE to the lowest computed polymorph = 0 kJ/mol of formula units; space-group type = No. 123; M_tot = 0.025 μB per atom
1.0
4.9219 0.0000 0.0000
0.0000 4.9219 0.0000
0.0000 0.0000 4.8822
Tl V As Se
1 1 1 2
Direct
0.0000 0.0000 0.0000
0.5000 0.5000 0.5000
0.5000 0.5000 0.0000
0.0000 0.5000 0.5000
0.5000 0.0000 0.5000